Computed, not measured: an optimized crystal structure of TlRuPt2Rh at the PBE level of DFT.

Properties
formation enthalpy at 0 K = 196.8 kJ per mole of atoms
magnetic moment = 3.88 μB per formula unit
crystal system = tetragonal

a b c (Å): 4.9584 4.9584 4.9987
angles (deg): 90.00 90.00 90.00
Space group P4/mmm (No. 123)
Unique sites:
Tl  0.0000  0.0000  0.0000 (multiplicity 1)
Ru  0.0000  0.0000  0.5000 (multiplicity 1)
Pt  0.0000  0.5000  0.0000 (multiplicity 2)
Rh  0.5000  0.5000  0.5000 (multiplicity 1)